An optimized crystal structure of PmErAlCd, computed with PBE.

Properties
The calculation puts the energy relative to the lowest polymorph listed for this composition at 0 meV/atom. For the energy of formation, the calculation gives -1.43 eV per formula unit. The density is 7.37 g/cm³.

a = 3.6560 Å, b = 3.6560 Å, c = 7.6110 Å
α = 90.00°, β = 90.00°, γ = 90.00°
Element x y z (fractional)
Al  0.0000  0.0000  0.3699
Cd  0.0000  0.0000  0.8406
Er  0.5000  0.5000  0.5968
Pm  0.5000  0.5000  0.1206



An optimized crystal structure of LiGd2Dy, computed with PBE.

Properties
The calculation puts the energy relative to the lowest polymorph listed for this composition at 0 meV/atom. For the energy of formation, the calculation gives 0.28 eV per formula unit. The density is 6.91 g/cm³.

a = 3.6330 Å, b = 3.6330 Å, c = 8.8118 Å
α = 90.00°, β = 90.00°, γ = 90.00°
Last column: magnetic moment on the atom in μB.
Element x y z (fractional)
Gd  0.0000  0.0000  0.7756  7.20
Gd  0.0000  0.0000  0.2244  7.20
Dy  0.5000  0.5000  0.5000  0.04
Li  0.5000  0.5000  0.0000  0.01



An optimized crystal structure of RbFeHg2Pd, computed with PBE.

Properties
For the energy of formation, the calculation gives 6.98 eV per formula unit. The density is 4.55 g/cm³.

a = 6.5392 Å, b = 5.5340 Å, c = 6.5392 Å
α = 90.00°, β = 90.00°, γ = 90.00°
Last column: magnetic moment on the atom in μB.
Element x y z (fractional)
Hg  0.5000  0.0000  0.0000  -0.01
Hg  0.0000  0.0000  0.5000  -0.01
Rb  0.0000  0.0000  0.0000  -0.02
Pd  0.0000  0.5000  0.0000  -0.05
Fe  0.5000  0.5000  0.5000  3.46



An optimized crystal structure of Be8Ru, computed with PBE.

Properties
The calculation puts the energy relative to the lowest polymorph listed for this composition at 30 meV/atom. For the energy of formation, the calculation gives -0.85 eV per formula unit. The density is 3.66 g/cm³.

a = 5.2502 Å, b = 5.2502 Å, c = 5.2502 Å
α = 95.08°, β = 95.08°, γ = 145.38°
Element x y z (fractional)
Be  0.3257  0.6743  0.0000
Be  0.3257  0.3257  0.6515
Be  0.0000  0.6566  0.6566
Be  0.3434  0.0000  0.3434
Be  0.0000  0.3434  0.3434
Be  0.6743  0.3257  0.0000
Be  0.6743  0.6743  0.3485
Be  0.6566  0.0000  0.6566
Ru  0.0000  0.0000  0.0000



An optimized crystal structure of Cs3Nd3TmSe8, computed with PBE.

Properties
Its energy relative to the elements, uncorrected is -1652.2 meV per atom. The density is 4.92 g/cm³.

a = 8.6068 Å, b = 8.6120 Å, c = 9.9158 Å
α = 115.81°, β = 90.01°, γ = 119.97°
Element x y z (fractional)
Tm  0.0000  0.0000  0.5000
Se  0.7305  0.4610  0.6911
Se  0.2224  0.4446  0.6839
Se  0.7777  0.0381  0.3161
Se  0.2603  0.0381  0.3162
Se  0.2695  0.5390  0.3089
Se  0.7776  0.5554  0.3161
Se  0.7397  0.9619  0.6838
Se  0.2223  0.9619  0.6839
Cs  0.5000  0.5000  0.0000
Cs  0.0000  0.0000  0.0000
Cs  0.0000  0.5000  0.0000
Nd  0.0000  0.5000  0.5000
Nd  0.5000  0.0000  0.5000
Nd  0.5000  0.5000  0.5000



An optimized crystal structure of RbGaReAs2, computed with PBE.

Properties
For the energy of formation, the calculation gives 0.54 eV per formula unit. The density is 6.61 g/cm³.

a = 4.9517 Å, b = 5.0310 Å, c = 4.9517 Å
α = 90.00°, β = 90.00°, γ = 90.00°
Element x y z (fractional)
Rb  0.5000  0.5000  0.5000
Re  0.0000  0.0000  0.0000
As  0.5000  0.0000  0.0000
As  0.0000  0.0000  0.5000
Ga  0.0000  0.5000  0.0000



An optimized crystal structure of ErCrB4, computed with PBE.

Properties
For the energy of formation, the calculation gives -4.17 eV per formula unit. The density is 7.56 g/cm³.

a = 5.9090 Å, b = 11.4177 Å, c = 3.4195 Å
α = 90.00°, β = 90.00°, γ = 90.00°
Last column: magnetic moment on the atom in μB.
Element x y z (fractional)
Cr  0.8756  0.5810  0.0000  -0.96
Cr  0.6244  0.0810  0.0000  -0.96
Cr  0.1244  0.4190  0.0000  0.96
Cr  0.3756  0.9190  0.0000  0.96
B  0.1365  0.9676  0.5000  -0.02
B  0.0248  0.6920  0.5000  0.02
B  0.6136  0.9530  0.5000  0.00
B  0.4752  0.1920  0.5000  0.02
B  0.7179  0.6845  0.5000  0.02
B  0.8635  0.0324  0.5000  0.02
B  0.7821  0.1845  0.5000  0.02
B  0.5248  0.8080  0.5000  -0.02
B  0.2179  0.8155  0.5000  -0.02
B  0.3864  0.0470  0.5000  0.00
B  0.9752  0.3080  0.5000  -0.02
B  0.2821  0.3155  0.5000  -0.02
B  0.6365  0.5324  0.5000  0.02
B  0.1136  0.5470  0.5000  0.00
B  0.8864  0.4530  0.5000  0.00
B  0.3635  0.4676  0.5000  -0.02
Er  0.3752  0.6507  0.0000  0.00
Er  0.6248  0.3493  0.0000  0.00
Er  0.1248  0.1507  0.0000  0.00
Er  0.8752  0.8493  0.0000  0.00



An optimized crystal structure of Pr8NiC3Cl4, computed with PBE.

Properties
Its energy relative to the elements, uncorrected is -915.0 meV per atom. The density is 6.00 g/cm³.

a = 7.7885 Å, b = 8.4761 Å, c = 7.7893 Å
α = 117.36°, β = 120.00°, γ = 90.00°
Element x y z (fractional)
C  0.5000  0.5000  0.5000
C  0.5000  0.5000  0.0000
C  0.0000  0.5000  0.5000
Pr  0.2688  0.3064  0.5376
Pr  0.7582  0.3000  0.5164
Pr  0.2418  0.7000  0.4836
Pr  0.7582  0.3000  0.0418
Pr  0.7312  0.6936  0.4624
Pr  0.2418  0.7000  0.9582
Pr  0.2836  0.3000  0.0418
Pr  0.7164  0.7000  0.9582
Cl  0.0000  0.0000  0.5000
Cl  0.5000  0.0000  0.0000
Cl  0.5000  0.0000  0.5000
Cl  0.0000  0.0000  0.0000
Ni  0.0000  0.5000  0.0000



An optimized crystal structure of CaMo2Cl, computed with PBE.

Properties
Its energy relative to the elements, uncorrected is 796.4 meV per atom. The calculation puts the energy relative to the lowest polymorph listed for this composition at 940 meV/atom. The density is 6.03 g/cm³.

a = 9.6417 Å, b = 9.6417 Å, c = 9.6417 Å
α = 17.87°, β = 17.87°, γ = 17.87°
Element x y z (fractional)
Cl  0.7500  0.7500  0.7500
Ca  0.2500  0.2500  0.2500
Mo  0.0112  0.0112  0.0112
Mo  0.4888  0.4888  0.4888



An optimized crystal structure of Pa2Se2Br3, computed with PBE.

Properties
Its energy relative to the elements, uncorrected is -1308.4 meV per atom. The density is 5.85 g/cm³.

a = 4.0505 Å, b = 4.0490 Å, c = 15.0109 Å
α = 90.00°, β = 97.87°, γ = 90.00°
Last column: magnetic moment on the atom in μB.
Element x y z (fractional)
Br  0.1896  0.0000  0.3741  -0.02
Br  0.8104  0.0000  0.6259  -0.02
Br  0.0000  0.0000  0.0000  -0.02
Pa  0.9003  0.0000  0.8045  0.83
Pa  0.0997  0.0000  0.1955  0.83
Se  0.4075  0.5000  0.8187  -0.03
Se  0.5925  0.5000  0.1813  -0.03



An optimized crystal structure of Sn3ClO, computed with PBE.

Properties
Its energy relative to the elements, uncorrected is -186.3 meV per atom. The calculation puts the energy relative to the lowest polymorph listed for this composition at 0 meV/atom. The density is 5.43 g/cm³.

a = 4.9966 Å, b = 4.9966 Å, c = 4.9966 Å
α = 90.00°, β = 90.00°, γ = 90.00°
Element x y z (fractional)
Sn  0.0000  0.5000  0.0000
Sn  0.0000  0.0000  0.5000
Sn  0.5000  0.0000  0.0000
O  0.0000  0.0000  0.0000
Cl  0.5000  0.5000  0.5000



An optimized crystal structure of Ac3Mg5S12, computed with PBE.

Properties
Its energy relative to the elements, uncorrected is -1228.1 meV per atom. The density is 3.90 g/cm³.

a = 13.7961 Å, b = 13.7961 Å, c = 13.7961 Å
α = 109.47°, β = 109.47°, γ = 109.47°
Last column: magnetic moment on the atom in μB.
Element x y z (fractional)
Mg  0.8750  0.2500  0.6250  0.00
Mg  0.0000  0.0000  0.5000  0.00
Mg  0.5000  0.0000  0.5000  0.00
Mg  0.1250  0.3750  0.2500  0.00
Mg  0.2500  0.3750  0.6250  0.00
Mg  0.2500  0.8750  0.1250  0.00
Mg  0.0000  0.0000  0.0000  0.00
Mg  0.5000  0.0000  0.0000  0.00
Mg  0.0000  0.5000  0.5000  0.00
Mg  0.8750  0.6250  0.7500  0.00
Mg  0.0000  0.5000  0.0000  0.00
Mg  0.7500  0.1250  0.8750  0.00
Mg  0.3750  0.1250  0.7500  0.00
Mg  0.5000  0.5000  0.5000  0.00
Mg  0.6250  0.7500  0.8750  0.00
Mg  0.6250  0.8750  0.2500  0.00
Mg  0.3750  0.2500  0.1250  0.00
Mg  0.7500  0.6250  0.3750  0.00
Mg  0.1250  0.7500  0.3750  0.00
Mg  0.5000  0.5000  0.0000  0.00
S  0.9133  0.0913  0.8800  0.18
S  0.4133  0.3800  0.5913  0.18
S  0.2113  0.5333  0.6200  0.18
S  0.7887  0.3220  0.9087  0.18
S  0.5333  0.2113  0.1200  0.18
S  0.8220  0.9133  0.0333  0.18
S  0.7113  0.1200  0.0333  0.18
S  0.2887  0.8800  0.9667  0.18
S  0.0913  0.1780  0.2113  0.18
S  0.9087  0.8220  0.7887  0.18
S  0.3220  0.5333  0.4133  0.18
S  0.9087  0.0867  0.6200  0.18
S  0.5867  0.9667  0.6780  0.18
S  0.1780  0.0913  0.7113  0.18
S  0.5333  0.3220  0.9133  0.18
S  0.7113  0.5913  0.1780  0.18
S  0.1200  0.4087  0.0867  0.18
S  0.3800  0.4133  0.0913  0.18
S  0.4667  0.7887  0.8800  0.18
S  0.6200  0.5867  0.9087  0.18
S  0.5913  0.8800  0.4133  0.18
S  0.4087  0.2887  0.3220  0.18
S  0.9667  0.5867  0.1780  0.18
S  0.1780  0.0867  0.9667  0.18
S  0.3800  0.9667  0.7887  0.18
S  0.2113  0.6780  0.0913  0.18
S  0.1200  0.7113  0.5333  0.18
S  0.5913  0.7113  0.6780  0.18
S  0.0867  0.9087  0.1200  0.18
S  0.6200  0.0333  0.2113  0.18
S  0.6780  0.2113  0.5913  0.18
S  0.4133  0.0333  0.3220  0.18
S  0.7887  0.4667  0.3800  0.18
S  0.4087  0.1200  0.5867  0.18
S  0.9667  0.3800  0.2887  0.18
S  0.0867  0.1780  0.4667  0.18
S  0.8800  0.5913  0.9133  0.18
S  0.2887  0.4087  0.8220  0.18
S  0.4667  0.6780  0.0867  0.18
S  0.8800  0.2887  0.4667  0.18
S  0.9133  0.8220  0.5333  0.18
S  0.5867  0.6200  0.4087  0.18
S  0.0333  0.6200  0.7113  0.18
S  0.0333  0.4133  0.8220  0.18
S  0.8220  0.9087  0.2887  0.18
S  0.3220  0.7887  0.4087  0.18
S  0.0913  0.9133  0.3800  0.18
S  0.6780  0.4667  0.5867  0.18
Ac  0.7500  0.3750  0.1250  0.02
Ac  0.1250  0.2500  0.8750  0.02
Ac  0.3750  0.7500  0.6250  0.02
Ac  0.1250  0.8750  0.7500  0.02
Ac  0.3750  0.6250  0.2500  0.02
Ac  0.6250  0.3750  0.7500  0.02
Ac  0.2500  0.1250  0.3750  0.02
Ac  0.8750  0.7500  0.1250  0.02
Ac  0.2500  0.6250  0.8750  0.02
Ac  0.7500  0.8750  0.6250  0.02
Ac  0.8750  0.1250  0.2500  0.02
Ac  0.6250  0.2500  0.3750  0.02



An optimized crystal structure of NbTlTeO6, computed with PBE.

Properties
Its energy relative to the elements, uncorrected is -1553.9 meV per atom. The calculation puts the energy relative to the lowest polymorph listed for this composition at 41 meV/atom. The density is 5.48 g/cm³.

a = 5.4008 Å, b = 5.4008 Å, c = 6.2434 Å
α = 90.00°, β = 90.00°, γ = 60.00°
Element x y z (fractional)
O  0.0091  0.3899  0.3218
O  0.3899  0.6010  0.3218
O  0.0090  0.6010  0.6782
O  0.6009  0.0091  0.3218
O  0.6010  0.3900  0.6782
O  0.3899  0.0091  0.6783
Te  0.3333  0.3333  0.5000
Tl  0.0000  0.0000  0.9999
Nb  0.6666  0.6667  0.4999



An optimized crystal structure of AgHgMo, computed with PBE.

Properties
The calculation puts the energy relative to the lowest polymorph listed for this composition at 24 meV/atom. For the energy of formation, the calculation gives 1.55 eV per formula unit. The density is 12.35 g/cm³.

a = 2.9075 Å, b = 2.9075 Å, c = 7.4283 Å
α = 90.00°, β = 90.00°, γ = 120.00°
Element x y z (fractional)
Ag  0.0000  0.0000  0.9918
Mo  0.3333  0.6667  0.6722
Hg  0.6667  0.3333  0.3360



An optimized crystal structure of NaNbC3, computed with PBE.

Properties
The calculation puts the energy relative to the lowest polymorph listed for this composition at 0 meV/atom. For the energy of formation, the calculation gives 7.92 eV per formula unit. The density is 3.31 g/cm³.

a = 4.2405 Å, b = 4.2405 Å, c = 4.2405 Å
α = 90.00°, β = 90.00°, γ = 90.00°
Element x y z (fractional)
Nb  0.0000  0.0000  0.0000
C  0.0000  0.0000  0.5000
C  0.5000  0.0000  0.0000
C  0.0000  0.5000  0.0000
Na  0.5000  0.5000  0.5000



An optimized crystal structure of Ba5Li4P4, computed with PBE.

Properties
For the energy of formation, the calculation gives -9.63 eV per formula unit. The density is 3.93 g/cm³.

a = 4.6407 Å, b = 9.0438 Å, c = 9.0438 Å
α = 86.23°, β = 75.13°, γ = 75.13°
Element x y z (fractional)
P  0.9525  0.7700  0.3251
P  0.0475  0.2300  0.6749
P  0.7225  0.3251  0.2300
P  0.2775  0.6749  0.7700
Li  0.1042  0.4690  0.3226
Li  0.5732  0.3226  0.5310
Li  0.8958  0.5310  0.6774
Li  0.4268  0.6774  0.4690
Ba  0.2873  0.0822  0.3432
Ba  0.6305  0.6568  0.0822
Ba  0.7127  0.9178  0.6568
Ba  0.3695  0.3432  0.9178
Ba  0.0000  0.0000  0.0000



An optimized crystal structure of Zn2InO, computed with PBE.

Properties
Its energy relative to the elements, uncorrected is 259.1 meV per atom. The calculation puts the energy relative to the lowest polymorph listed for this composition at 707 meV/atom. The density is 6.42 g/cm³.

a = 4.5734 Å, b = 4.5734 Å, c = 4.5734 Å
α = 60.00°, β = 60.00°, γ = 60.00°
Last column: magnetic moment on the atom in μB.
Element x y z (fractional)
Zn  0.7500  0.7500  0.7500  -0.04
Zn  0.2500  0.2500  0.2500  -0.04
In  0.5000  0.5000  0.5000  -0.01
O  0.0000  0.0000  0.0000  -0.40



An optimized crystal structure of Ce2CuOs, computed with PBE.

Properties
The calculation puts the energy relative to the lowest polymorph listed for this composition at 48 meV/atom. For the energy of formation, the calculation gives -0.50 eV per formula unit. The density is 10.50 g/cm³.

a = 4.9248 Å, b = 4.9248 Å, c = 4.9248 Å
α = 60.00°, β = 60.00°, γ = 60.00°
Element x y z (fractional)
Ce  0.7500  0.7500  0.7500
Ce  0.2500  0.2500  0.2500
Cu  0.5000  0.5000  0.5000
Os  0.0000  0.0000  0.0000



An optimized crystal structure of LiBe4, computed with PBE.

Properties
The calculation puts the energy relative to the lowest polymorph listed for this composition at 750 meV/atom. For the energy of formation, the calculation gives 5.87 eV per formula unit. The density is 1.32 g/cm³.

a = 3.7783 Å, b = 3.7783 Å, c = 3.7783 Å
α = 90.00°, β = 90.00°, γ = 90.00°
Element x y z (fractional)
Be  0.0000  0.0000  0.0000
Be  0.0000  0.5000  0.5000
Be  0.5000  0.5000  0.0000
Be  0.5000  0.0000  0.5000
Li  0.5000  0.5000  0.5000



An optimized crystal structure of Ho2AgSn4, computed with PBE.

Properties
For the energy of formation, the calculation gives -2.75 eV per formula unit. The density is 8.29 g/cm³.

a = 4.4602 Å, b = 4.4602 Å, c = 9.1913 Å
α = 90.00°, β = 90.00°, γ = 90.00°
Element x y z (fractional)
Sn  0.0000  0.5000  0.8142
Sn  0.0000  0.0000  0.5000
Sn  0.5000  0.5000  0.5000
Sn  0.5000  0.0000  0.1858
Ag  0.5000  0.5000  0.0000
Ho  0.5000  0.0000  0.7731
Ho  0.0000  0.5000  0.2269



An optimized crystal structure of PrEu2Dy, computed with PBE.

Properties
The calculation puts the energy relative to the lowest polymorph listed for this composition at 57 meV/atom. For the energy of formation, the calculation gives 0.58 eV per formula unit. The density is 6.86 g/cm³.

a = 5.9246 Å, b = 5.9246 Å, c = 5.9246 Å
α = 60.00°, β = 60.00°, γ = 60.00°
Last column: magnetic moment on the atom in μB.
Element x y z (fractional)
Pr  0.5000  0.5000  0.5000  -0.08
Dy  0.0000  0.0000  0.0000  -0.08
Eu  0.2500  0.2500  0.2500  -6.84
Eu  0.7500  0.7500  0.7500  -6.84



An optimized crystal structure of SmGdTeBr, computed with PBE.

Properties
Its energy relative to the elements, uncorrected is -1154.9 meV per atom. The density is 8.12 g/cm³.

a = 5.3012 Å, b = 5.3012 Å, c = 5.3012 Å
α = 60.00°, β = 60.00°, γ = 60.00°
Last column: magnetic moment on the atom in μB.
Element x y z (fractional)
Sm  0.7500  0.7500  0.7500  0.07
Br  0.5000  0.5000  0.5000  -0.01
Gd  0.2500  0.2500  0.2500  7.13
Te  0.0000  0.0000  0.0000  -0.02